Here is a relaxed structure of Ac4RhN3 from Alexandria via LeMat-Bulk. Energies are from PBE-GGA.

Cell lengths 5.692, 5.692, 11.197 Å; angles 90.00, 90.00, 90.00 degrees
Space group I4/mmm (No. 139)
Unique sites:
Ac1 0.000 0.000 0.236 [4 per cell]
Ac2 0.000 0.500 0.000 [4 per cell]
Rh1 0.000 0.000 0.500 [2 per cell]
N1 0.000 0.000 0.000 [2 per cell]
N2 0.000 0.500 0.250 [4 per cell]

Results
**Electronic total energy**: -6.9626 eV/atom
**Crystal system**: tetragonal
**Raw formation energy**: -0.867 eV per atom

=====

Here is a relaxed structure of Ac6Rh3N from Alexandria via LeMat-Bulk. Energies are from PBE-GGA.

Cell lengths 10.167, 4.279, 14.347 Å; angles 90.00, 92.33, 90.00 degrees
Space group P2_1/m (No. 11)
Unique sites:
Ac1 0.002 0.250 0.373 [2 per cell]
Ac2 0.053 0.250 0.879 [2 per cell]
Ac3 0.313 0.750 0.292 [2 per cell]
Ac4 0.340 0.750 0.034 [2 per cell]
Ac5 0.357 0.250 0.516 [2 per cell]
Ac6 0.370 0.750 0.750 [2 per cell]
Rh1 0.127 0.250 0.171 [2 per cell]
Rh2 0.168 0.750 0.466 [2 per cell]
Rh3 0.372 0.250 0.890 [2 per cell]
N1 0.449 0.250 0.360 [2 per cell]

Results
**Electronic total energy**: -6.1239 eV/atom
**Crystal system**: monoclinic
**Raw formation energy**: -0.621 eV per atom